The following is a DFT calculation (PBE) of crystalline TaP2SBr at its relaxed geometry.

## Properties
DFT total energy = -5.48 eV per atom
formation energy without anion corrections = 0.211 eV per atom
energy above the lowest structure with this stoichiometry = 0.0000 eV per atom
mass density = 5.2 g cm⁻³
crystal system = tetragonal

The structure in POSCAR format:
```
TaP2SBr
1.0
4.931 0.000 0.000
0.000 4.931 0.000
0.000 0.000 4.673
Ta P S Br
1 2 1 1
Cartesian
0.000 0.000 0.000
0.000 2.465 0.000
2.465 0.000 0.000
0.000 0.000 2.336
2.465 2.465 2.336
```